TeIrO3 | Alexandria | PBE | optimized geometry; uncorrected formation energy = 0.5118 eV per atom; total magnetic moment = 2.481 μB per cell; SG = Pm-3m; calculated volume = 13.60 Å³/atom; ρ = 8.98 g cm⁻³
1.0
4.0818 0.0000 0.0000
0.0000 4.0818 0.0000
0.0000 0.0000 4.0818
Ir Te O
1 1 3
direct
0.5000 0.5000 0.5000
0.0000 0.0000 0.0000
0.0000 0.5000 0.0000
0.0000 0.0000 0.5000
0.5000 0.0000 0.0000

---

Cu2HgI6 | Alexandria | PBE | optimized geometry; uncorrected formation energy = -0.1314 eV per atom; total magnetic moment = 0.000 μB per cell; SG = C2/c; calculated volume = 41.06 Å³/atom; ρ = 4.89 g cm⁻³
1.0
-0.7535 2.7649 6.1276
0.0207 -7.9374 8.2066
9.6224 5.0233 3.5393
Cu Hg I
4 2 12
direct
0.2004 0.6293 0.7936
0.2996 0.2064 0.3707
0.7996 0.3707 0.2064
0.7004 0.7936 0.6293
0.2500 0.2065 0.7935
0.7500 0.7935 0.2065
0.4330 0.6985 0.5966
0.0670 0.4034 0.3015
0.5670 0.3015 0.4034
0.9330 0.5966 0.6985
0.8593 0.8567 0.4132
0.6407 0.5868 0.1433
0.1407 0.1433 0.5868
0.3593 0.4132 0.8567
0.1515 0.7872 0.9865
0.3485 0.0135 0.2128
0.8485 0.2128 0.0135
0.6515 0.9865 0.7872